Entry 1:
Density functional theory data (PBE-GGA) for a relaxed structure of IrAu.

Output
The excess energy over the best structure of this formula in the dataset is 128.3 meV per atom. The value obtained for the formation energy is 30.38 kJ per mole of atoms. The calculation puts the magnetization at 0.0 μB/f.u.

Cell lengths 2.7946, 2.7946, 9.9106 Å; angles 90.00, 90.00, 120.97 degrees
Atoms (fractional coordinates):
Au  0.0000  0.0000  0.0084
Au  0.5000  0.5000  0.7416
Ir  0.0000  0.0000  0.4872
Ir  0.5000  0.5000  0.2628



Entry 2:
Density functional theory data (PBE-GGA) for a relaxed structure of Pa5Mn2Ge5.

Output
The value obtained for the formation energy is -37.74 kJ per mole of atoms. The calculation puts the magnetization at 0.0 μB/f.u.

Cell lengths 4.2670, 7.7612, 7.9718 Å; angles 83.99, 74.48, 74.04 degrees
Atoms (fractional coordinates):
Pa  0.5000  0.5000  0.5000
Pa  0.3760  0.3304  0.9175
Pa  0.3264  0.0395  0.3078
Pa  0.6736  0.9605  0.6922
Pa  0.6240  0.6696  0.0825
Mn  0.8350  0.5616  0.7684
Mn  0.1650  0.4384  0.2316
Ge  0.9400  0.7514  0.3687
Ge  0.2415  0.7172  0.7998
Ge  0.7585  0.2828  0.2002
Ge  0.0600  0.2486  0.6313
Ge  0.0000  0.0000  0.0000